Compound: Zn4CuAg3
Source: Alexandria via LeMat-Bulk
Functional: PBE
Structure: relaxed

The structure in POSCAR format:
```
Zn4CuAg3
1.0
-2.244 2.653 5.871
2.244 -2.653 5.871
2.244 2.653 -5.871
Zn Cu Ag
4 1 3
Cartesian
2.244 -1.394 3.823
0.000 1.260 2.049
2.244 1.394 3.823
0.000 4.047 2.049
0.000 2.653 0.000
2.244 0.000 0.000
0.000 0.000 4.440
0.000 0.000 7.302
```

Computed properties:
DFT total energy, eV per atom: -2.1156
E_form, eV/atom: 0.103
Space-group type: Immm
Density of states at the Fermi level, states/eV/atom: 0.31

***

Compound: Zn5Cu4Ag
Source: Alexandria via LeMat-Bulk
Functional: PBE
Structure: relaxed

The structure in POSCAR format:
```
Zn5Cu4Ag
1.0
3.036 0.000 0.000
0.000 3.036 0.000
0.000 0.000 14.826
Zn Cu Ag
5 4 1
Cartesian
0.000 0.000 0.000
0.000 0.000 2.847
0.000 0.000 5.653
0.000 0.000 9.173
0.000 0.000 11.978
1.518 1.518 1.414
1.518 1.518 4.258
1.518 1.518 10.568
1.518 1.518 13.411
1.518 1.518 7.413
```

Computed properties:
DFT total energy, eV per atom: -2.6386
E_form, eV/atom: -0.078
Space-group type: P4/mmm
Density of states at the Fermi level, states/eV/atom: 0.24

***

Compound: Zn7Cu2Ag3
Source: Alexandria via LeMat-Bulk
Functional: PBE
Structure: relaxed

The structure in POSCAR format:
```
Zn7Cu2Ag3
1.0
4.459 0.000 0.000
0.000 2.799 0.000
-0.644 0.000 14.924
Zn Cu Ag
7 2 3
Cartesian
0.000 0.000 0.000
0.755 1.399 3.015
0.795 1.399 8.125
0.838 0.000 12.669
2.977 0.000 2.255
3.020 1.399 6.799
3.059 1.399 11.909
0.817 1.399 10.570
2.998 1.399 4.355
0.779 0.000 5.580
2.229 1.399 0.000
3.036 0.000 9.345
```

Computed properties:
DFT total energy, eV per atom: -2.1342
E_form, eV/atom: 0.004
Space-group type: P2/m
Density of states at the Fermi level, states/eV/atom: 0.18

***

Compound: Zn3CuAg
Source: Alexandria via LeMat-Bulk
Functional: PBE
Structure: relaxed

The structure in POSCAR format:
```
Zn3CuAg
1.0
5.502 0.000 0.000
0.000 3.891 0.000
0.000 0.000 13.757
Zn Cu Ag
12 4 4
Cartesian
0.571 0.973 1.940
0.760 0.973 10.375
0.786 0.973 7.519
1.965 2.918 0.640
1.991 2.918 3.496
2.180 2.918 8.818
3.322 0.973 4.939
3.511 0.973 10.261
3.538 0.973 13.117
4.716 2.918 6.238
4.742 2.918 3.383
4.931 2.918 11.818
0.678 0.973 13.114
2.073 2.918 6.235
3.429 0.973 7.522
4.824 2.918 0.643
0.581 0.973 4.799
2.170 2.918 11.678
3.332 0.973 2.079
4.921 2.918 8.958
```

Computed properties:
DFT total energy, eV per atom: -2.1773
E_form, eV/atom: -0.023
Space-group type: Pnma
Density of states at the Fermi level, states/eV/atom: 0.25

***

Compound: Zn4Cu8Ag
Source: Alexandria via LeMat-Bulk
Functional: PBE
Structure: relaxed

The structure in POSCAR format:
```
Zn4Cu8Ag
1.0
2.714 0.000 0.000
0.000 4.170 0.000
0.000 0.000 15.601
Zn Cu Ag
4 8 1
Cartesian
0.000 0.000 0.000
0.000 2.085 2.747
1.357 0.000 6.526
1.357 2.085 9.616
0.000 0.000 4.328
0.000 0.000 8.720
0.000 2.085 7.257
0.000 2.085 13.763
1.357 0.000 2.146
1.357 0.000 13.529
1.357 2.085 0.459
1.357 2.085 4.996
0.000 0.000 11.291
```

Computed properties:
DFT total energy, eV per atom: -3.1294
E_form, eV/atom: 0.003
Space-group type: Pmm2
Density of states at the Fermi level, states/eV/atom: 0.30

***

Compound: ZnCu2Ag2
Source: Alexandria via LeMat-Bulk
Functional: PBE
Structure: relaxed

The structure in POSCAR format:
```
ZnCu2Ag2
1.0
7.095 0.000 0.000
0.000 7.095 0.000
0.000 0.000 3.203
Zn Cu Ag
2 4 4
Cartesian
0.000 0.000 0.000
3.548 3.548 0.000
1.081 2.467 1.601
2.467 6.014 1.601
4.629 1.081 1.601
6.014 4.629 1.601
1.030 4.578 0.000
2.518 1.030 0.000
4.578 6.065 0.000
6.065 2.518 0.000
```

Computed properties:
DFT total energy, eV per atom: -2.8202
E_form, eV/atom: 0.214
Space-group type: P4/mbm
Density of states at the Fermi level, states/eV/atom: 0.35

***

Compound: ZnCu4Ag
Source: Alexandria via LeMat-Bulk
Functional: PBE
Structure: relaxed

The structure in POSCAR format:
```
ZnCu4Ag
1.0
7.396 0.000 0.000
0.000 8.676 0.000
0.000 0.000 2.615
Zn Cu Ag
2 8 2
Cartesian
0.000 1.034 0.000
3.698 7.642 1.307
1.329 3.199 2.588
1.472 7.622 2.606
2.226 1.054 1.298
2.369 5.477 1.281
5.027 5.477 1.281
5.170 1.054 1.298
5.924 7.622 2.606
6.067 3.199 2.588
0.000 5.452 2.590
3.698 3.224 1.282
```

Computed properties:
DFT total energy, eV per atom: -3.2920
E_form, eV/atom: 0.126
Space-group type: Pmn2_1
Density of states at the Fermi level, states/eV/atom: 0.26

***

Compound: Zn12CuAg3
Source: Alexandria via LeMat-Bulk
Functional: PBE
Structure: relaxed

The structure in POSCAR format:
```
Zn12CuAg3
1.0
3.865 0.000 0.000
0.000 3.865 0.000
0.000 0.000 16.308
Zn Cu Ag
12 1 3
Cartesian
0.000 0.000 0.000
0.000 0.000 4.030
0.000 0.000 8.154
0.000 0.000 12.278
0.000 1.932 1.891
0.000 1.932 6.076
0.000 1.932 10.232
0.000 1.932 14.417
1.932 0.000 1.891
1.932 0.000 6.076
1.932 0.000 10.232
1.932 0.000 14.417
1.932 1.932 0.000
1.932 1.932 3.976
1.932 1.932 8.154
1.932 1.932 12.332
```

Computed properties:
DFT total energy, eV per atom: -1.7481
E_form, eV/atom: -0.002
Space-group type: P4/mmm
Density of states at the Fermi level, states/eV/atom: 0.28